! GdGaPtRh PBE-GGA optimized geometry; values from VASP
&SYSTEM
  ibrav = 0, nat = 4, ntyp = 4
/
ATOMIC_SPECIES
Rh 102.91 Rh.upf
Ga 69.72 Ga.upf
Gd 157.25 Gd.upf
Pt 195.08 Pt.upf
CELL_PARAMETERS angstrom
4.667 0.000 0.000
2.334 4.042 0.000
2.334 1.347 3.811
ATOMIC_POSITIONS angstrom
Rh 0.000 0.000 0.000
Ga 2.334 1.347 0.953
Gd 7.001 4.042 2.858
Pt 4.667 2.695 1.905
! V = 17.97 Å³ per atom
! space group = F-43m (216)
! total energy = -33.55 eV per cell


! Ac7Ni2Hg2 PBE-GGA optimized geometry; values from VASP
&SYSTEM
  ibrav = 0, nat = 11, ntyp = 3
/
ATOMIC_SPECIES
Ac 227.00 Ac.upf
Hg 200.59 Hg.upf
Ni 58.69 Ni.upf
CELL_PARAMETERS angstrom
4.069 0.000 0.873
1.013 9.031 5.200
-0.117 0.008 10.469
ATOMIC_POSITIONS angstrom
Ac 1.361 6.412 13.496
Hg 3.810 7.927 11.999
Ac 2.278 6.412 9.222
Ac 2.928 4.560 6.191
Hg 1.412 3.171 3.340
Ac 3.010 8.732 5.811
Ac 3.363 0.712 4.164
Ni 0.743 6.877 6.458
Ni 2.321 3.235 9.021
Ac 3.910 3.416 11.534
Ac 0.532 1.451 7.443
! V = 35.04 Å³ per atom
! space group = Imm2 (44)
! excess energy over the best structure of this formula in the dataset = 0.0 meV/atom
! total energy = -43.33 eV per cell


! Mg3HgH PBE-GGA optimized geometry; values from VASP
&SYSTEM
  ibrav = 0, nat = 5, ntyp = 3
/
ATOMIC_SPECIES
Mg 24.30 Mg.upf
Hg 200.59 Hg.upf
H 1.01 H.upf
CELL_PARAMETERS angstrom
-0.034 2.709 -4.504
3.216 -3.552 -2.161
-4.157 -2.770 -1.634
ATOMIC_POSITIONS angstrom
Mg 1.608 -1.776 -1.080
Mg -2.079 -1.385 -0.817
Hg 0.000 0.000 0.000
Mg -0.017 1.354 -2.252
H -0.488 -1.807 -4.150
! V = 29.04 Å³ per atom
! space group = Pm-3m (221)
! excess energy over the best structure of this formula in the dataset = 579.9 meV/atom
! total energy = -5.94 eV per cell


! K2NaCuF4 PBE-GGA optimized geometry; values from VASP
&SYSTEM
  ibrav = 0, nat = 16, ntyp = 4
/
ATOMIC_SPECIES
K 39.10 K.upf
F 19.00 F.upf
Cu 63.55 Cu.upf
Na 22.99 Na.upf
CELL_PARAMETERS angstrom
3.536 0.000 0.000
-1.768 5.997 0.000
0.000 0.000 13.077
ATOMIC_POSITIONS angstrom
K 1.768 1.619 0.634
K 0.000 4.379 12.443
F 0.000 3.335 1.856
F 1.768 2.662 11.220
F 0.000 0.000 0.000
F 0.000 3.335 4.682
F 0.000 5.392 9.808
F 1.768 2.662 8.395
K 1.768 1.619 5.905
Cu 1.768 4.241 9.808
Na 0.000 1.552 9.808
Cu 0.000 1.756 3.269
Na 1.768 4.445 3.269
K 0.000 4.379 7.172
F 0.000 0.000 6.538
F 1.768 0.605 3.269
! V = 17.33 Å³ per atom
! space group = Cmcm (63)
! total energy = -64.74 eV per cell


! Er2MgRe PBE-GGA optimized geometry; values from VASP
&SYSTEM
  ibrav = 0, nat = 4, ntyp = 3
/
ATOMIC_SPECIES
Re 186.21 Re.upf
Mg 24.30 Mg.upf
Er 167.26 Er.upf
CELL_PARAMETERS angstrom
-1.029 0.872 -2.747
-1.078 -2.086 -1.963
-11.151 0.915 2.765
ATOMIC_POSITIONS angstrom
Re 0.000 0.000 0.000
Mg -6.629 -0.149 -0.972
Er -4.636 -0.894 -3.661
Er -8.623 0.596 1.716
! V = 23.09 Å³ per atom
! space group = R-3m (166)
! total energy = -20.36 eV per cell


! PmSeS PBE-GGA optimized geometry; values from VASP
&SYSTEM
  ibrav = 0, nat = 6, ntyp = 3
/
ATOMIC_SPECIES
Se 78.96 Se.upf
S 32.06 S.upf
Pm 145.00 Pm.upf
CELL_PARAMETERS angstrom
-2.032 3.213 -1.718
-3.355 -3.526 -2.626
-1.548 0.281 7.423
ATOMIC_POSITIONS angstrom
Se -3.426 -0.926 -2.745
S -5.133 -0.085 0.848
Pm -2.990 -1.724 0.311
Pm -3.946 1.693 2.768
Se -1.961 0.613 -1.599
S -1.802 0.053 2.231
! V = 25.96 Å³ per atom
! space group = Immm (71)
! excess energy over the best structure of this formula in the dataset = 0.0 meV/atom
! total energy = -34.85 eV per cell


! Cs2SrBO4 PBE-GGA optimized geometry; values from VASP
&SYSTEM
  ibrav = 0, nat = 16, ntyp = 4
/
ATOMIC_SPECIES
Cs 132.91 Cs.upf
O 16.00 O.upf
B 10.81 B.upf
Sr 87.62 Sr.upf
CELL_PARAMETERS angstrom
-5.398 -0.852 0.859
-2.619 -4.836 -3.442
0.106 -8.667 9.873
ATOMIC_POSITIONS angstrom
Cs -4.278 -10.408 7.318
O -4.356 -4.983 -1.886
Cs -6.332 -4.373 0.402
O -1.981 -9.123 8.926
O -6.200 -12.796 6.974
O -7.016 -8.949 4.177
Cs -4.371 -3.870 4.318
O -2.019 -5.583 3.293
O -3.569 -7.243 2.304
B -2.606 -6.965 3.430
O -3.286 -1.807 0.567
O -3.219 -6.935 4.807
Sr -5.305 -7.390 3.860
B -2.699 -0.426 0.430
Cs -0.921 -5.649 6.415
Sr 0.000 0.000 0.000
! V = 26.06 Å³ per atom
! space group = Fddd (70)
! total energy = -86.88 eV per cell


! K2Rb2Hg3 PBE-GGA optimized geometry; values from VASP
&SYSTEM
  ibrav = 0, nat = 7, ntyp = 3
/
ATOMIC_SPECIES
Rb 85.47 Rb.upf
Hg 200.59 Hg.upf
K 39.10 K.upf
CELL_PARAMETERS angstrom
-3.096 -4.069 -0.056
2.689 1.278 -8.063
5.499 -4.259 5.403
ATOMIC_POSITIONS angstrom
Rb 4.544 -3.490 2.358
Hg 0.957 -3.956 1.119
Hg 4.135 -3.094 -3.834
K 1.954 -1.471 -1.205
K 3.138 -5.579 -1.510
Rb 0.548 -3.560 -5.074
Hg -1.548 -2.034 -0.028
! V = 46.50 Å³ per atom
! space group = C2/m (12)
! total energy = -6.36 eV per cell


! AcPr2F11 PBE-GGA optimized geometry; values from VASP
&SYSTEM
  ibrav = 0, nat = 28, ntyp = 3
/
ATOMIC_SPECIES
F 19.00 F.upf
Pr 140.91 Pr.upf
Ac 227.00 Ac.upf
CELL_PARAMETERS angstrom
-3.033 8.362 0.155
-8.360 1.769 -3.715
-6.001 2.432 6.700
ATOMIC_POSITIONS angstrom
F -13.638 7.252 3.478
F -8.339 9.229 0.451
F -9.197 5.003 5.334
F -6.327 3.478 -0.715
F -8.575 7.308 3.565
Pr -8.396 3.230 -1.711
F -4.842 1.895 2.902
F -11.066 9.085 3.855
F -2.150 1.995 1.211
Pr -8.997 9.333 4.851
F -8.696 6.282 1.570
Pr -7.764 5.073 3.524
F -6.005 6.175 4.537
Ac -4.348 3.141 0.785
F -15.243 10.568 1.929
F -6.182 4.389 1.972
F -11.387 6.388 -1.397
F -3.755 5.312 -0.338
F -12.551 10.668 0.238
F -11.211 8.174 1.168
Pr -9.629 7.491 -0.384
F 0.000 0.000 0.000
F -8.818 5.255 -0.425
F -6.775 3.207 4.738
F -9.054 3.334 2.689
F -10.618 9.357 -1.598
Ac -13.045 9.422 2.355
F -8.196 7.560 -2.194
! V = 21.07 Å³ per atom
! space group = Ibam (72)
! total energy = -163.95 eV per cell


! Pu2Si2O PBE-GGA optimized geometry; values from VASP
&SYSTEM
  ibrav = 0, nat = 10, ntyp = 3
/
ATOMIC_SPECIES
Si 28.09 Si.upf
Pu 244.00 Pu.upf
O 16.00 O.upf
CELL_PARAMETERS angstrom
3.778 0.000 -0.509
-0.068 3.778 -0.509
-0.138 -0.140 13.266
ATOMIC_POSITIONS angstrom
Si 3.055 3.111 8.406
Si 0.517 0.527 3.843
Pu 2.540 2.586 4.578
Si 1.342 3.290 9.968
Pu 1.033 1.051 7.671
O 1.855 1.889 -0.509
Pu 2.063 0.177 1.038
Pu 3.433 1.572 11.211
Si 0.307 2.236 2.281
O 2.748 0.874 6.125
! V = 18.88 Å³ per atom
! space group = I4_1/amd (141)
! total energy = -100.99 eV per cell


! ZnGa2P2 PBE-GGA optimized geometry; values from VASP
&SYSTEM
  ibrav = 0, nat = 10, ntyp = 3
/
ATOMIC_SPECIES
Ga 69.72 Ga.upf
Zn 65.41 Zn.upf
P 30.97 P.upf
CELL_PARAMETERS angstrom
7.101 0.000 0.000
0.000 7.101 0.000
0.000 0.000 3.360
ATOMIC_POSITIONS angstrom
Ga 6.087 4.565 0.000
Zn 0.000 0.000 0.000
P 2.456 1.094 1.680
P 6.007 2.456 1.680
Ga 4.565 1.014 0.000
Ga 2.537 6.087 0.000
P 1.094 4.645 1.680
P 4.645 6.007 1.680
Ga 1.014 2.537 0.000
Zn 3.551 3.551 0.000
! V = 16.94 Å³ per atom
! space group = P4/mbm (127)
! excess energy over the best structure of this formula in the dataset = 154.6 meV/atom
! total energy = -33.51 eV per cell


! Tb3DyHg12 PBE-GGA optimized geometry; values from VASP
&SYSTEM
  ibrav = 0, nat = 16, ntyp = 3
/
ATOMIC_SPECIES
Hg 200.59 Hg.upf
Tb 158.93 Tb.upf
Dy 162.50 Dy.upf
CELL_PARAMETERS angstrom
4.527 0.000 0.000
0.000 4.527 0.000
0.000 0.000 19.228
ATOMIC_POSITIONS angstrom
Hg 0.000 2.264 2.394
Hg 2.264 0.000 16.833
Tb 0.000 0.000 9.614
Dy 0.000 0.000 0.000
Hg 0.000 2.264 16.833
Hg 0.000 2.264 12.021
Hg 2.264 2.264 4.800
Hg 2.264 0.000 12.021
Hg 2.264 2.264 9.614
Tb 0.000 0.000 4.799
Hg 2.264 2.264 14.428
Hg 2.264 2.264 0.000
Hg 2.264 0.000 2.394
Hg 2.264 0.000 7.207
Hg 0.000 2.264 7.207
Tb 0.000 0.000 14.428
! V = 24.63 Å³ per atom
! space group = P4/mmm (123)
! total energy = -27.26 eV per cell